# 1
## SrZnI2O (GGA-PBE)

Data for crystalline SrZnI2O at its relaxed geometry.

## Properties
- SG = P4/mmm, No. 123
- energy above the most stable polymorph in this dataset (meV/atom) = 501
- raw formation energy (eV per atom) = -0.52

a = 6.4980 Å, b = 6.4980 Å, c = 4.5193 Å
α = 90.00°, β = 90.00°, γ = 90.00°
Closest atoms and distances in Å follow each position.
Sites, in units of the cell vectors:
Sr: 0.0000 0.0000 0.0000  2 O 2.26
Zn: 0.5000 0.5000 0.5000  8 I 3.96
I: 0.0000 0.5000 0.0000  2 Sr 3.25
I: 0.5000 0.0000 0.0000  2 Sr 3.25
O: 0.0000 0.0000 0.5000  2 Sr 2.26

=====

# 2
## SrZnIO6 (GGA-PBE)

Data for crystalline SrZnIO6 at its relaxed geometry.

## Properties
- SG = P312, No. 149
- raw formation energy (eV per atom) = -1.16

a = 5.3008 Å, b = 5.3008 Å, c = 5.3838 Å
α = 90.00°, β = 90.00°, γ = 120.00°
Closest atoms and distances in Å follow each position.
Sites, in units of the cell vectors:
Sr: 0.0000 0.0000 0.0000  6 O 2.56
Zn: 0.3333 0.6667 0.5000  6 O 2.08
I: 0.6667 0.3333 0.5000  6 O 1.90
O: 0.3906 0.0257 0.7042  1 I 1.90, 1 Zn 2.08
O: 0.3906 0.3649 0.2958  1 I 1.90, 1 Zn 2.08
O: 0.6351 0.0257 0.2958  1 I 1.90, 1 Zn 2.08
O: 0.6351 0.6094 0.7042  1 I 1.90, 1 Zn 2.08
O: 0.9743 0.3649 0.7042  1 I 1.90, 1 Zn 2.08
O: 0.9743 0.6094 0.2958  1 I 1.90, 1 Zn 2.08

=====

# 3
## SrZrIO2 (GGA-PBE)

Data for crystalline SrZrIO2 at its relaxed geometry.

## Properties
- SG = P4/mmm, No. 123
- energy above the most stable polymorph in this dataset (meV/atom) = 0
- raw formation energy (eV per atom) = -1.83

a = 4.3068 Å, b = 4.3068 Å, c = 5.9714 Å
α = 90.00°, β = 90.00°, γ = 90.00°
Closest atoms and distances in Å follow each position.
Sites, in units of the cell vectors:
Sr: 0.0000 0.0000 0.0000  4 I 3.05
Zr: 0.5000 0.5000 0.5000  4 O 2.15
I: 0.5000 0.5000 0.0000  2 Zr 2.99, 4 Sr 3.05
O: 0.0000 0.5000 0.5000  2 Zr 2.15
O: 0.5000 0.0000 0.5000  2 Zr 2.15

=====

# 4
## SrZr2IO8 (GGA-PBE)

Data for crystalline SrZr2IO8 at its relaxed geometry.

## Properties
- SG = Cmmm, No. 65
- raw formation energy (eV per atom) = -2.15

a = 5.0031 Å, b = 5.0031 Å, c = 6.8264 Å
α = 90.00°, β = 90.00°, γ = 92.03°
Closest atoms and distances in Å follow each position.
Sites, in units of the cell vectors:
Sr: 0.0000 0.0000 0.0000  6 O 2.36-2.44
Zr: 0.5000 0.5000 0.2437  4 O 2.07-2.09
Zr: 0.5000 0.5000 0.7563  4 O 2.07-2.09
I: 0.0000 0.0000 0.5000  6 O 2.00-2.07
O: 0.2024 0.2024 0.2924  1 I 2.00, 1 Zr 2.09
O: 0.2024 0.2024 0.7076  1 I 2.00, 1 Zr 2.09
O: 0.2880 0.7120 0.5000  1 I 2.07, 2 Zr 2.32
O: 0.3282 0.6718 0.0000  2 Zr 2.07
O: 0.6718 0.3282 0.0000  2 Zr 2.07
O: 0.7120 0.2880 0.5000  1 I 2.07, 2 Zr 2.32
O: 0.7976 0.7976 0.2924  1 I 2.00, 1 Zr 2.09
O: 0.7976 0.7976 0.7076  1 I 2.00, 1 Zr 2.09

=====

# 5
## SrZrIO2 (GGA-PBE)

Data for crystalline SrZrIO2 at its relaxed geometry.

## Properties
- SG = P4/mmm, No. 123
- energy above the most stable polymorph in this dataset (meV/atom) = 1521
- raw formation energy (eV per atom) = -0.31

a = 4.5974 Å, b = 4.5974 Å, c = 6.0170 Å
α = 90.00°, β = 90.00°, γ = 90.00°
Closest atoms and distances in Å follow each position.
Sites, in units of the cell vectors:
Sr: 0.0000 0.0000 0.0000  4 O 2.30
Zr: 0.5000 0.5000 0.5000  4 I 3.25
I: 0.0000 0.0000 0.5000  2 Sr 3.01, 4 Zr 3.25
O: 0.0000 0.5000 0.0000  2 Sr 2.30
O: 0.5000 0.0000 0.0000  2 Sr 2.30

=====

# 6
## SrZrIO6 (GGA-PBE)

Data for crystalline SrZrIO6 at its relaxed geometry.

## Properties
- SG = P-31c, No. 163
- raw formation energy (eV per atom) = -1.90

a = 5.5427 Å, b = 5.5427 Å, c = 10.6898 Å
α = 90.00°, β = 90.00°, γ = 120.00°
Closest atoms and distances in Å follow each position.
Sites, in units of the cell vectors:
Sr: 0.0000 0.0000 0.0000  6 O 2.60
Sr: 0.0000 0.0000 0.5000  6 O 2.60
Zr: 0.3333 0.6667 0.2500  6 O 2.13
Zr: 0.6667 0.3333 0.7500  6 O 2.13
I: 0.3333 0.6667 0.7500  6 O 2.01
I: 0.6667 0.3333 0.2500  6 O 2.01
O: 0.0161 0.3865 0.6441  1 I 2.01, 1 Zr 2.13
O: 0.0161 0.6296 0.8559  1 I 2.01, 1 Zr 2.13
O: 0.3704 0.3865 0.8559  1 I 2.01, 1 Zr 2.13
O: 0.3704 0.9839 0.6441  1 I 2.01, 1 Zr 2.13
O: 0.3865 0.0161 0.1441  1 I 2.01, 1 Zr 2.13
O: 0.3865 0.3704 0.3559  1 I 2.01, 1 Zr 2.13
O: 0.6135 0.6296 0.6441  1 I 2.01, 1 Zr 2.13
O: 0.6135 0.9839 0.8559  1 I 2.01, 1 Zr 2.13
O: 0.6296 0.0161 0.3559  1 I 2.01, 1 Zr 2.13
O: 0.6296 0.6135 0.1441  1 I 2.01, 1 Zr 2.13
O: 0.9839 0.3704 0.1441  1 I 2.01, 1 Zr 2.13
O: 0.9839 0.6135 0.3559  1 I 2.01, 1 Zr 2.13

=====

# 7
## TaI3O (GGA-PBE)

Data for crystalline TaI3O at its relaxed geometry.

## Properties
- SG = Pm-3m, No. 221
- raw formation energy (eV per atom) = 0.68

a = 5.4572 Å, b = 5.4572 Å, c = 5.4572 Å
α = 90.00°, β = 90.00°, γ = 90.00°
Closest atoms and distances in Å follow each position.
Sites, in units of the cell vectors:
Ta: 0.0000 0.0000 0.0000  6 I 2.73
I: 0.0000 0.0000 0.5000  2 Ta 2.73
I: 0.0000 0.5000 0.0000  2 Ta 2.73
I: 0.5000 0.0000 0.0000  2 Ta 2.73
O: 0.5000 0.5000 0.5000  12 I 3.86

=====

# 8
## TaI2O2 (GGA-PBE)

Data for crystalline TaI2O2 at its relaxed geometry.

## Properties
- SG = P4/mmm, No. 123
- energy above the most stable polymorph in this dataset (meV/atom) = 1700
- raw formation energy (eV per atom) = 0.82

a = 4.0804 Å, b = 4.0804 Å, c = 7.8203 Å
α = 90.00°, β = 90.00°, γ = 90.00°
Closest atoms and distances in Å follow each position.
Sites, in units of the cell vectors:
Ta: 0.0000 0.0000 0.0000  4 I 2.89
I: 0.5000 0.5000 0.0000  4 Ta 2.89
I: 0.5000 0.5000 0.5000  4 O 2.04
O: 0.0000 0.5000 0.5000  2 I 2.04
O: 0.5000 0.0000 0.5000  2 I 2.04